# 1
Here is a relaxed structure of SrTaTc2Te from Alexandria. Energies are from GGA-PBE.

Output
Crystal system   tetragonal
Energy   -6.195 eV per atom
DOS(E_F)   5.3 states/eV/cell

Lattice parameters (Å, degrees): 4.972 4.972 5.111 90.00 90.00 90.00
Space group P4/mmm (No. 123)
Inequivalent atoms, fractional coordinates:
Sr (0.000, 0.000, 0.000) (multiplicity 1)
Ta (0.500, 0.500, 0.000) (multiplicity 1)
Tc (0.000, 0.500, 0.500) (multiplicity 2)
Te (0.500, 0.500, 0.500) (multiplicity 1)

=====

# 2
Here is a relaxed structure of Tb2Pr5NdTh from Alexandria. Energies are from GGA-PBE.

Output
Crystal system   orthorhombic
Formation energy from the elements   0.1570 eV/atom
Energy   -4.881 eV per atom
DOS(E_F)   51.8 states/eV/cell

Lattice parameters (Å, degrees): 5.768 20.715 10.661 90.00 90.00 90.00
Space group Cmc2_1 (No. 36)
Inequivalent atoms, fractional coordinates:
Tb (0.000, 0.114, 0.000) (multiplicity 4)
Tb (0.000, 0.116, 0.581) (multiplicity 4)
Pr (0.000, 0.015, 0.286) (multiplicity 4)
Pr (0.000, 0.276, 0.579) (multiplicity 4)
Pr (0.000, 0.293, 0.969) (multiplicity 4)
Pr (0.000, 0.386, 0.291) (multiplicity 4)
Pr (0.000, 0.479, 0.008) (multiplicity 4)
Nd (0.000, 0.409, 0.716) (multiplicity 4)
Th (0.000, 0.199, 0.277) (multiplicity 4)